No. 1
This record from Alexandria via LeMat-Bulk describes a relaxed structure of Na2LaTmTe4. The functional is PBE.

Structure (POSCAR):
```
Na2LaTmTe4
1.0
4.5124 0.0000 0.0000
0.0000 7.8250 0.1202
0.0000 -2.7199 7.5113
Na Te Tm La
2 4 1 1
Direct
0.5000 0.0000 0.5000
0.0000 0.5000 0.5000
0.0000 0.2410 0.7619
0.0000 0.7590 0.2381
0.5000 0.7683 0.7684
0.5000 0.2317 0.2316
0.0000 0.0000 0.0000
0.5000 0.5000 0.0000
```

Results
VASP energy: -4.42 eV per atom



No. 2
This record from Alexandria via LeMat-Bulk describes a relaxed structure of Na4La3TmTe8. The functional is PBE.

Structure (POSCAR):
```
Na4La3TmTe8
1.0
-2.8469 4.3436 7.5561
-3.4575 -7.8902 3.2329
8.8102 0.4449 -2.4992
Na Te Tm La
4 8 1 3
Direct
0.5000 0.0000 0.5000
0.0000 0.0000 0.0000
0.0000 0.0000 0.5000
0.5000 0.0000 0.0000
0.7608 0.2636 0.5216
0.7478 0.7433 0.4956
0.2419 0.2637 0.0027
0.7608 0.2637 0.0027
0.2522 0.2567 0.5044
0.7581 0.7363 0.9973
0.2392 0.7363 0.9973
0.2392 0.7364 0.4784
0.0000 0.5000 0.0000
0.5000 0.5000 0.5000
0.0000 0.5000 0.5000
0.5000 0.5000 0.0000
```

Results
VASP energy: -4.48 eV per atom



No. 3
This record from Alexandria via LeMat-Bulk describes a relaxed structure of NaLaTm2Te4. The functional is PBE.

Structure (POSCAR):
```
NaLaTm2Te4
1.0
-2.2487 -3.4139 1.5509
5.6454 -1.4683 4.9535
-5.0679 4.8624 3.3553
Tm Te Na La
2 4 1 1
Direct
0.0000 0.5000 0.5000
0.5000 0.0000 0.5000
0.5000 0.7477 0.7339
0.0000 0.2395 0.7331
0.5000 0.2523 0.2661
0.0000 0.7605 0.2669
0.0000 0.0000 0.0000
0.5000 0.5000 0.0000
```

Results
VASP energy: -4.81 eV per atom



No. 4
This record from Alexandria via LeMat-Bulk describes a relaxed structure of Na3La3UTe8. The functional is PBE.

Structure (POSCAR):
```
Na3La3UTe8
1.0
9.2403 0.0000 0.0000
-4.6202 7.9886 -0.0255
0.0000 -5.2980 7.5291
Te Na U La
8 3 1 3
Direct
0.2426 0.0054 0.2683
0.2522 0.5045 0.2570
0.7478 0.4955 0.7430
0.2372 0.9946 0.7317
0.2371 0.4743 0.7316
0.7629 0.5257 0.2684
0.7574 0.9946 0.7317
0.7628 0.0054 0.2683
0.0000 0.5000 0.0000
0.5000 0.5000 0.0000
0.0000 0.0000 0.0000
0.0000 0.0000 0.5000
0.0000 0.5000 0.5000
0.5000 0.5000 0.5000
0.5000 0.0000 0.5000
```

Results
VASP energy: -4.91 eV per atom



no.,mass density (g/cm3),formation energy (no corrections) (eV per formula unit)
1,5.4,-10.7
2,5.1,-21.9
3,6.8,-10.7
4,5.2,-18.5